TiAlNi4 | PBE-GGA | optimized geometry

Properties
energy relative to the lowest polymorph listed for this composition = 0 meV per atom
space-group type = C2/m
final energy = -74.70 eV for the cell shown
ΔH_f (0 K) = -431 meV per atom

Cell: 8.395 3.379 5.409 Å, 90.00 109.28 90.00°
Atoms (fractional coordinates):
Ti: 0.000 0.000 0.000
Ti: 0.500 0.500 0.000
Al: 0.000 0.000 0.500
Al: 0.500 0.500 0.500
Ni: 0.164 0.500 0.335
Ni: 0.166 0.500 0.833
Ni: 0.334 0.000 0.167
Ni: 0.336 0.000 0.665
Ni: 0.664 0.000 0.335
Ni: 0.666 0.000 0.833
Ni: 0.834 0.500 0.167
Ni: 0.836 0.500 0.665

=====

TiAlNi6 | PBE-GGA | optimized geometry

Properties
energy relative to the lowest polymorph listed for this composition = 7 meV per atom
space-group type = Cmmm
final energy = -200.18 eV for the cell shown
ΔH_f (0 K) = -465 meV per atom

Cell: 6.212 6.212 10.139 Å, 90.00 90.00 109.53°
Atoms (fractional coordinates):
Ti: 0.000 0.000 0.247
Ti: 0.000 0.000 0.753
Ti: 0.246 0.754 0.500
Ti: 0.754 0.246 0.500
Al: 0.246 0.754 0.000
Al: 0.500 0.500 0.249
Al: 0.500 0.500 0.751
Al: 0.754 0.246 0.000
Ni: 0.000 0.000 0.000
Ni: 0.000 0.000 0.500
Ni: 0.127 0.376 0.375
Ni: 0.127 0.376 0.625
Ni: 0.127 0.378 0.125
Ni: 0.127 0.378 0.875
Ni: 0.249 0.751 0.249
Ni: 0.249 0.751 0.751
Ni: 0.376 0.127 0.375
Ni: 0.376 0.127 0.625
Ni: 0.378 0.127 0.125
Ni: 0.378 0.127 0.875
Ni: 0.500 0.500 0.000
Ni: 0.500 0.500 0.500
Ni: 0.622 0.873 0.125
Ni: 0.622 0.873 0.875
Ni: 0.624 0.873 0.375
Ni: 0.624 0.873 0.625
Ni: 0.751 0.249 0.249
Ni: 0.751 0.249 0.751
Ni: 0.873 0.622 0.125
Ni: 0.873 0.622 0.875
Ni: 0.873 0.624 0.375
Ni: 0.873 0.624 0.625

=====

What did the first record say?
TiAlNi4 | PBE-GGA | optimized geometry

Properties
energy relative to the lowest polymorph listed for this composition = 0 meV per atom
space-group type = C2/m
final energy = -74.70 eV for the cell shown
ΔH_f (0 K) = -431 meV per atom

Cell: 8.395 3.379 5.409 Å, 90.00 109.28 90.00°
Atoms (fractional coordinates):
Ti: 0.000 0.000 0.000
Ti: 0.500 0.500 0.000
Al: 0.000 0.000 0.500
Al: 0.500 0.500 0.500
Ni: 0.164 0.500 0.335
Ni: 0.166 0.500 0.833
Ni: 0.334 0.000 0.167
Ni: 0.336 0.000 0.665
Ni: 0.664 0.000 0.335
Ni: 0.666 0.000 0.833
Ni: 0.834 0.500 0.167
Ni: 0.836 0.500 0.665